First-principles (PBE-GGA) data for a relaxed ZnOsN2O crystal, as listed in Alexandria via LeMat-Bulk.

a b c (Å): 3.8410 3.8410 3.9703
angles (deg): 90.00 90.00 90.00
Space group P4/mmm (No. 123)
Unique sites:
Zn 0.0000 0.0000 0.0000
Os 0.5000 0.5000 0.5000
N 0.0000 0.5000 0.5000
O 0.5000 0.5000 0.0000

uncorrected formation energy: 0.503 eV/atom
E_tot: -31.60 eV for the cell shown
volume: 58.6 Å³ per cell